The following is a PBE-GGA calculation of a relaxed SrCe3 crystal, from Alexandria.

a = 7.137 Å, b = 7.137 Å, c = 5.837 Å
α = 90.00°, β = 90.00°, γ = 120.00°
Atoms (fractional coordinates):
Sr 0.333 0.667 0.250
Sr 0.667 0.333 0.750
Ce 0.135 0.271 0.750
Ce 0.135 0.865 0.750
Ce 0.271 0.135 0.250
Ce 0.729 0.865 0.750
Ce 0.865 0.135 0.250
Ce 0.865 0.729 0.250

Summary:
DOS at the Fermi energy, states/eV/atom: 3.157
Crystal system: hexagonal
Magnetic moment, μB per formula unit: 0.715
Formation energy from the elements, eV/atom: 0.36